1.
Below is a geometry-optimized Ac6OsN2 structure, with properties calculated at the PBE level.

Cell lengths 15.886, 4.254, 10.434 Å; angles 90.00, 98.77, 90.00 degrees
Space group C2/m (No. 12)
Asymmetric unit:
Ac 0.053 0.000 0.295 x4
Ac 0.120 0.500 0.979 x4
Ac 0.224 0.000 0.638 x4
Os 0.000 0.000 0.000 x2
N 0.199 0.000 0.400 x4

Calculated values
Calculated volume in A^3/atom: 38.71
Excess energy over the best structure of this formula in the dataset in eV/atom: 0.000
Raw formation energy in eV per atom: -0.4704

***

2.
Below is a geometry-optimized Ac2OsN3 structure, with properties calculated at the PBE level.

Cell lengths 5.558, 11.680, 12.527 Å; angles 90.00, 94.28, 90.00 degrees
Space group C2/c (No. 15)
Asymmetric unit:
Ac 0.225 0.201 0.354 x8
Ac 0.238 0.104 0.931 x8
Os 0.207 0.494 0.823 x8
N 0.000 0.004 0.250 x4
N 0.000 0.380 0.250 x4
N 0.209 0.325 0.865 x8
N 0.248 0.096 0.541 x8

Calculated values
Calculated volume in A^3/atom: 16.89
Raw formation energy in eV per atom: -0.6735

***

3.
Below is a geometry-optimized AcPa4Os3N12 structure, with properties calculated at the PBE level.

Cell lengths 8.270, 8.270, 8.270 Å; angles 90.00, 90.00, 90.00 degrees
Space group Im-3 (No. 204)
Asymmetric unit:
Ac 0.000 0.000 0.000 x2
Pa 0.250 0.250 0.250 x8
Os 0.000 0.000 0.500 x6
N 0.000 0.158 0.318 x24

Calculated values
Calculated volume in A^3/atom: 14.14
Raw formation energy in eV per atom: -0.5464

***

4.
Below is a geometry-optimized AcPa2OsN5 structure, with properties calculated at the PBE level.

Cell lengths 6.717, 6.717, 5.763 Å; angles 90.00, 90.00, 90.00 degrees
Space group P4/mbm (No. 127)
Asymmetric unit:
Ac 0.000 0.000 0.000 x2
Pa 0.178 0.322 0.500 x4
Os 0.000 0.500 0.000 x2
N 0.000 0.000 0.500 x2
N 0.148 0.648 0.248 x8

Calculated values
Calculated volume in A^3/atom: 14.44
Raw formation energy in eV per atom: -1.1702